! NaMn2CoF8, optimized geometry, DFT GGA+U; values from VASP
! **Density of states at the Fermi level**: 3.7 states/eV/cell
! **Magnetization**: 12.000 Bohr magnetons per cell
! **VASP energy**: -0.2023 hartree per atom
! **Symmetry**: No. 10
! **Crystal system**: monoclinic
&SYSTEM
  ibrav = 0, nat = 12, ntyp = 4
/
ATOMIC_SPECIES
Na 22.99 Na.upf
Mn 54.94 Mn.upf
Co 58.93 Co.upf
F 19.00 F.upf
CELL_PARAMETERS angstrom
4.845 0.065 -0.003
0.118 4.838 -0.006
0.004 0.008 6.611
ATOMIC_POSITIONS crystal
Na 0.000 0.000 0.500
Mn 0.500 0.500 0.751
Mn 0.500 0.500 0.249
Co 0.000 0.000 0.000
F 0.206 0.793 0.225
F 0.699 0.701 0.000
F 0.794 0.207 0.225
F 0.794 0.207 0.775
F 0.301 0.299 0.000
F 0.206 0.793 0.775
F 0.681 0.683 0.500
F 0.319 0.317 0.500